(1)
# HoScHg

Crystalline HoScHg at its relaxed geometry (GGA-PBE, Alexandria via LeMat-Bulk).

Magnetic moment ... 1.167 μB/f.u.
Space group ... No. 107
Volume ... 25.20 Å³ per atom
Energy above the most stable polymorph in this dataset ... 2.9 kJ/mol of atoms

Unit cell a=6.692 b=6.692 c=6.692 alpha=149.80 beta=149.80 gamma=43.23
Element x y z (fractional)
Ho 0.000 0.000 0.000
Sc 0.312 0.312 0.000
Hg 0.669 0.669 0.000



(2)
# HoScHg3

Crystalline HoScHg3 at its relaxed geometry (GGA-PBE, Alexandria via LeMat-Bulk).

Magnetic moment ... 0.000 μB/f.u.
Space group ... No. 12
Volume ... 24.07 Å³ per atom
Energy above the most stable polymorph in this dataset ... 0.0 kJ/mol of atoms

Unit cell a=8.272 b=8.272 c=6.195 alpha=107.22 beta=107.22 gamma=36.70
Element x y z (fractional)
Ho 0.095 0.095 0.344
Ho 0.905 0.905 0.656
Sc 0.303 0.303 0.201
Sc 0.697 0.697 0.799
Hg 0.119 0.119 0.868
Hg 0.292 0.292 0.686
Hg 0.495 0.495 0.245
Hg 0.505 0.505 0.755
Hg 0.708 0.708 0.314
Hg 0.881 0.881 0.132



(3)
# HoSc5Hg6

Crystalline HoSc5Hg6 at its relaxed geometry (GGA-PBE, Alexandria via LeMat-Bulk).

Magnetic moment ... 0.086 μB/f.u.
Space group ... No. 71
Volume ... 22.44 Å³ per atom

Unit cell a=8.682 b=8.682 c=8.682 alpha=146.56 beta=131.10 gamma=60.54
Element x y z (fractional)
Ho 0.000 0.000 0.000
Sc 0.165 0.665 0.500
Sc 0.332 0.332 0.000
Sc 0.500 0.000 0.500
Sc 0.668 0.668 0.000
Sc 0.835 0.335 0.500
Hg 0.087 0.830 0.257
Hg 0.264 0.500 0.764
Hg 0.427 0.170 0.257
Hg 0.573 0.830 0.743
Hg 0.736 0.500 0.236
Hg 0.913 0.170 0.743



| no. | formation energy (meV per atom) | final energy (eV for the cell shown) | D(E_F) (states/eV per cell) |
| --- | --- | --- | --- |
| 1 | -278 | -12.04 | 3.1 |
| 2 | -345 | -27.08 | 5.9 |
| 3 | -431 | -43.22 | 12.1 |